Entry 1:
DFT (PBE-GGA) results for a geometry-optimized TiSeBrN2 structure.

Lattice parameters (Å, degrees): 3.947 3.947 4.969 90.00 90.00 90.00
Element x y z (fractional)
Ti  0.000  0.000  0.000
Se  0.500  0.500  0.000
Br  0.500  0.500  0.500
N  0.000  0.500  0.500
N  0.500  0.000  0.500

DOS(E_F) in states/eV per atom: 0.616
Space group: P4/mmm, No. 123
Energy in Ry per atom: -0.3039
E_form (uncorrected) in kJ/mol of formula units: 871

Entry 2:
DFT (PBE-GGA) results for a geometry-optimized TlSe2BrN structure.

Lattice parameters (Å, degrees): 4.264 4.264 7.700 90.00 90.00 90.00
Element x y z (fractional)
Tl  0.000  0.000  0.000
Se  0.000  0.500  0.500
Se  0.500  0.000  0.500
Br  0.500  0.500  0.000
N  0.500  0.500  0.500

DOS(E_F) in states/eV per atom: 0.248
Space group: P4/mmm, No. 123
Energy in Ry per atom: -0.2459
E_form (uncorrected) in kJ/mol of formula units: 251

Entry 3:
DFT (PBE-GGA) results for a geometry-optimized TlSe2BrN structure.

Lattice parameters (Å, degrees): 5.766 5.766 3.691 90.00 90.00 90.00
Element x y z (fractional)
Tl  0.000  0.000  0.000
Se  0.000  0.500  0.500
Se  0.500  0.000  0.500
Br  0.500  0.500  0.500
N  0.500  0.500  0.000

DOS(E_F) in states/eV per atom: 1.052
Space group: P4/mmm, No. 123
Energy in Ry per atom: -0.1974
E_form (uncorrected) in kJ/mol of formula units: 569

Entry 4:
DFT (PBE-GGA) results for a geometry-optimized TlSeBrN2 structure.

Lattice parameters (Å, degrees): 4.409 4.409 6.080 90.00 90.00 90.00
Element x y z (fractional)
Tl  0.000  0.000  0.000
Se  0.000  0.000  0.500
Br  0.500  0.500  0.500
N  0.000  0.500  0.000
N  0.500  0.000  0.000

DOS(E_F) in states/eV per atom: 0.528
Space group: P4/mmm, No. 123
Energy in Ry per atom: -0.2243
E_form (uncorrected) in kJ/mol of formula units: 860

Entry 5:
DFT (PBE-GGA) results for a geometry-optimized TlSeBrN2 structure.

Lattice parameters (Å, degrees): 4.421 4.421 5.443 90.00 90.00 90.00
Element x y z (fractional)
Tl  0.000  0.000  0.000
Se  0.500  0.500  0.000
Br  0.500  0.500  0.500
N  0.000  0.500  0.500
N  0.500  0.000  0.500

DOS(E_F) in states/eV per atom: 0.667
Space group: P4/mmm, No. 123
Energy in Ry per atom: -0.2175
E_form (uncorrected) in kJ/mol of formula units: 905

Entry 6:
DFT (PBE-GGA) results for a geometry-optimized TlSe2BrN structure.

Lattice parameters (Å, degrees): 5.571 5.571 5.816 90.00 90.00 90.00
Element x y z (fractional)
Tl  0.000  0.000  0.000
Se  0.000  0.500  0.000
Se  0.500  0.000  0.000
Br  0.000  0.000  0.500
N  0.500  0.500  0.500

DOS(E_F) in states/eV per atom: 0.944
Space group: P4/mmm, No. 123
Energy in Ry per atom: -0.1821
E_form (uncorrected) in kJ/mol of formula units: 670

Entry 7:
DFT (PBE-GGA) results for a geometry-optimized TlSe2BrN structure.

Lattice parameters (Å, degrees): 5.694 5.694 4.493 90.00 90.00 90.00
Element x y z (fractional)
Tl  0.000  0.000  0.000
Se  0.000  0.500  0.000
Se  0.500  0.000  0.000
Br  0.500  0.500  0.500
N  0.000  0.000  0.500

DOS(E_F) in states/eV per atom: 0.705
Space group: P4/mmm, No. 123
Energy in Ry per atom: -0.1897
E_form (uncorrected) in kJ/mol of formula units: 620

Entry 8:
DFT (PBE-GGA) results for a geometry-optimized VSeBr2N structure.

Lattice parameters (Å, degrees): 4.450 4.450 4.828 90.00 90.00 90.00
Element x y z (fractional)
V  0.000  0.000  0.000
Se  0.500  0.500  0.000
Br  0.000  0.500  0.500
Br  0.500  0.000  0.500
N  0.500  0.500  0.500

DOS(E_F) in states/eV per atom: 1.071
Space group: P4/mmm, No. 123
Energy in Ry per atom: -0.2657
E_form (uncorrected) in kJ/mol of formula units: 598

Entry 9:
DFT (PBE-GGA) results for a geometry-optimized VSeBr2N structure.

Lattice parameters (Å, degrees): 5.126 5.126 4.705 90.00 90.00 90.00
Element x y z (fractional)
V  0.000  0.000  0.000
Se  0.000  0.000  0.500
Br  0.000  0.500  0.000
Br  0.500  0.000  0.000
N  0.500  0.500  0.500

DOS(E_F) in states/eV per atom: 0.489
Space group: P4/mmm, No. 123
Energy in Ry per atom: -0.3011
E_form (uncorrected) in kJ/mol of formula units: 366

Entry 10:
DFT (PBE-GGA) results for a geometry-optimized YSeBr2N structure.

Lattice parameters (Å, degrees): 4.696 4.696 4.659 90.00 90.00 90.00
Element x y z (fractional)
Y  0.000  0.000  0.000
Se  0.500  0.500  0.000
Br  0.000  0.500  0.500
Br  0.500  0.000  0.500
N  0.500  0.500  0.500

DOS(E_F) in states/eV per atom: 0.474
Space group: P4/mmm, No. 123
Energy in Ry per atom: -0.3084
E_form (uncorrected) in kJ/mol of formula units: 62

Entry 11:
DFT (PBE-GGA) results for a geometry-optimized YSeBr2N structure.

Lattice parameters (Å, degrees): 5.619 5.619 5.617 90.00 90.00 90.00
Element x y z (fractional)
Y  0.000  0.000  0.000
Se  0.000  0.000  0.500
Br  0.000  0.500  0.000
Br  0.500  0.000  0.000
N  0.500  0.500  0.500

DOS(E_F) in states/eV per atom: 0.751
Space group: P4/mmm, No. 123
Energy in Ry per atom: -0.3152
E_form (uncorrected) in kJ/mol of formula units: 17

Entry 12:
DFT (PBE-GGA) results for a geometry-optimized ZnSeBrN2 structure.

Lattice parameters (Å, degrees): 3.781 3.781 7.952 90.00 90.00 90.00
Element x y z (fractional)
Zn  0.000  0.000  0.000
Se  0.500  0.500  0.000
Br  0.500  0.500  0.500
N  0.000  0.500  0.500
N  0.500  0.000  0.500

DOS(E_F) in states/eV per atom: 0.482
Space group: P4/mmm, No. 123
Energy in Ry per atom: -0.2022
E_form (uncorrected) in kJ/mol of formula units: 900

Question: What is the energy in the ninth record?
Answer: -0.3011 Ry per atom

Question: Look up the energy of the seventh one.
Answer: -0.1897 Ry per atom

Question: Which of these has the highest E_form (uncorrected)?
Answer: number 5

Question: What is the formula in the twelfth record?
Answer: ZnSeBrN2